No. 1
YHgSe2 PBE-GGA optimized geometry; raw formation energy = -4.10 eV per formula unit; DOS at the Fermi energy = 0.222 states/eV/atom
1.0
-1.8255 -3.5308 -0.9527
-0.4338 -0.8489 3.9747
-5.4502 2.8161 0.0066
Hg Y Se
1 1 2
Cartesian
-5.8989 0.2744 1.5168
-2.0437 1.0560 0.0025
-3.1727 -1.1342 1.5135
-4.7695 2.4644 0.0058

=====

No. 2
La2SeBr2O PBE-GGA optimized geometry; raw formation energy = -14.61 eV per formula unit; DOS at the Fermi energy = 0.000 states/eV/atom
1.0
4.1580 0.0000 0.0000
0.0000 8.0789 0.0000
0.0000 0.0000 11.4364
Br La Se O
4 4 2 2
Cartesian
0.0000 3.0173 2.6898
0.0000 7.0567 8.7466
2.0790 6.9111 1.1490
2.0790 2.8716 10.2874
2.0790 2.6296 5.0426
0.0000 5.9956 3.1364
0.0000 1.9562 8.3000
2.0790 6.6690 6.3938
0.0000 0.3052 5.0002
0.0000 4.3447 6.4362
2.0790 5.7464 4.2972
2.0790 1.7069 7.1392

=====

No. 3
Ba2ZrIn PBE-GGA optimized geometry; DFT formation energy = 0.31 eV/f.u.; DOS at the Fermi energy = 1.243 states/eV/atom
1.0
4.0220 0.0000 0.0000
0.0000 4.0220 0.0000
0.0000 0.0000 9.8009
Zr In Ba
1 1 2
Cartesian
2.0110 2.0110 6.6272
0.0000 0.0000 5.5517
0.0000 0.0000 9.1707
2.0110 2.0110 3.1526

=====

No. 4
Al2Cu5Au5 PBE-GGA optimized geometry; DFT formation energy = -1.56 eV/f.u.; DOS at the Fermi energy = 0.331 states/eV/atom
1.0
-0.6770 -2.0691 -3.8388
6.5084 1.3525 0.6599
-2.8997 -5.9129 3.6984
Cu Au Al
5 5 2
Cartesian
0.0000 0.0000 0.0000
3.1522 -4.4009 -0.7206
-0.2206 -2.2285 1.2401
0.6649 -5.5262 0.3246
2.2667 -1.1032 0.1948
-1.7874 -6.4772 1.2697
2.0404 -3.5927 1.5766
-1.7884 -3.9910 -0.0702
0.8912 -3.0367 -1.0571
4.7190 -0.1522 -0.7502
3.2995 -2.0498 -2.0138
-0.3679 -4.5796 2.5333

=====

no.,magnetic moment (μB per formula unit)
1,0.00
2,0.00
3,1.45
4,0.00